(1)
# BaCuPt2 | Alexandria | PBEsol | relaxed
data_BaCuPt2
_symmetry_space_group_name_H-M 'F -4 3 m'
_symmetry_Int_Tables_number 216
_symmetry_space_group_name_Hall 'F -4 2 3'
_cell_length_a 6.793
_cell_length_b 6.793
_cell_length_c 6.793
_cell_angle_alpha 90.00
_cell_angle_beta 90.00
_cell_angle_gamma 90.00
loop_
_atom_site_label
_atom_site_fract_x
_atom_site_fract_y
_atom_site_fract_z
Ba1 0.000 0.000 0.000
Cu1 0.250 0.250 0.250
Pt1 0.000 0.000 0.500
Pt2 0.250 0.250 0.750
# **Crystal system**: cubic
# **Excess energy over the best structure of this formula in the dataset**: 60.3 kJ per mole of atoms
# **Formation energy**: 211 meV per atom
# **Total magnetic moment**: 0.000 μB per atom


(2)
# TeP8 | Alexandria | PBEsol | relaxed
data_TeP8
_symmetry_space_group_name_H-M 'I 4/m m m'
_symmetry_Int_Tables_number 139
_symmetry_space_group_name_Hall '-I 4 2'
_cell_length_a 9.046
_cell_length_b 9.046
_cell_length_c 4.198
_cell_angle_alpha 90.00
_cell_angle_beta 90.00
_cell_angle_gamma 90.00
loop_
_atom_site_label
_atom_site_fract_x
_atom_site_fract_y
_atom_site_fract_z
Te1 0.000 0.000 0.000
P1 0.000 0.374 0.000
P2 0.211 0.211 0.000
# **Crystal system**: tetragonal
# **VASP energy**: -46.52 eV per formula unit
# **Total magnetic moment**: 0.000 μB per atom


(3)
# ZnCu2Ni | Alexandria | PBEsol | relaxed
data_ZnCu2Ni
_symmetry_space_group_name_H-M 'I -4 m 2'
_symmetry_Int_Tables_number 119
_symmetry_space_group_name_Hall 'I -4 -2'
_cell_length_a 3.610
_cell_length_b 3.610
_cell_length_c 6.992
_cell_angle_alpha 90.00
_cell_angle_beta 90.00
_cell_angle_gamma 90.00
loop_
_atom_site_label
_atom_site_fract_x
_atom_site_fract_y
_atom_site_fract_z
Zn1 0.000 0.000 0.000
Cu1 0.000 0.000 0.500
Cu2 0.000 0.500 0.250
Ni1 0.000 0.500 0.750
# **Crystal system**: tetragonal
# **Formation energy**: -113 meV per atom
# **Total magnetic moment**: 0.000 μB per atom


(4)
# Ta4CoTe4 | Alexandria | PBEsol | relaxed
data_Ta4CoTe4
_symmetry_space_group_name_H-M 'P b a m'
_symmetry_Int_Tables_number 55
_cell_length_a 10.521
_cell_length_b 18.206
_cell_length_c 4.746
_cell_angle_alpha 90.00
_cell_angle_beta 90.00
_cell_angle_gamma 90.00
loop_
_symmetry_equiv_pos_as_xyz
'x,y,z'
'-x,-y,-z'
'-x,-y,z'
'x,y,-z'
'x+1/2,-y+1/2,-z'
'-x+1/2,y+1/2,z'
'-x+1/2,y+1/2,-z'
'x+1/2,-y+1/2,z'
loop_
_atom_site_label
_atom_site_fract_x
_atom_site_fract_y
_atom_site_fract_z
Ta1 0.065 0.119 0.000
Ta2 0.101 0.889 0.500
Ta3 0.193 0.058 0.500
Ta4 0.208 0.963 0.000
Co1 0.000 0.000 0.250
Te1 0.111 0.207 0.500
Te2 0.141 0.435 0.500
Te3 0.166 0.601 0.000
Te4 0.173 0.809 0.000
# **Crystal system**: orthorhombic
# **VASP energy**: -75.43 eV per formula unit
# **Total magnetic moment**: 0.000 μB per atom


Q: total magnetic moment of number 3 (ZnCu2Ni)?
A: 0.000 μB per atom


Please write out number 2 again, unchanged.
# TeP8 | Alexandria | PBEsol | relaxed
data_TeP8
_symmetry_space_group_name_H-M 'I 4/m m m'
_symmetry_Int_Tables_number 139
_symmetry_space_group_name_Hall '-I 4 2'
_cell_length_a 9.046
_cell_length_b 9.046
_cell_length_c 4.198
_cell_angle_alpha 90.00
_cell_angle_beta 90.00
_cell_angle_gamma 90.00
loop_
_atom_site_label
_atom_site_fract_x
_atom_site_fract_y
_atom_site_fract_z
Te1 0.000 0.000 0.000
P1 0.000 0.374 0.000
P2 0.211 0.211 0.000
# **Crystal system**: tetragonal
# **VASP energy**: -46.52 eV per formula unit
# **Total magnetic moment**: 0.000 μB per atom